No. 1
## Sm5Ge3F (PBE)

Data for a relaxed structure of Sm5Ge3F.

Lattice parameters (Å, degrees): 7.949 7.949 8.971 116.30 116.30 90.00
Fractional coordinates of all 18 atoms:
Ge 0.250 0.250 0.500
Sm 0.477 0.306 0.283
F 0.750 0.250 0.500
Sm 0.977 0.477 0.283
F 0.250 0.750 0.500
Sm 0.523 0.694 0.717
Ge 0.366 0.866 0.000
Sm 0.023 0.523 0.717
Sm 0.194 0.023 0.717
Ge 0.134 0.366 0.000
Ge 0.750 0.750 0.500
Sm 0.694 0.194 0.717
Sm 0.000 0.000 0.000
Sm 0.500 0.500 0.000
Sm 0.306 0.806 0.283
Ge 0.634 0.134 0.000
Sm 0.806 0.977 0.283
Ge 0.866 0.634 0.000

Properties
Volume in Å³/atom: 24.54
Total DFT energy (no corrections) in eV/f.u.: -50.3
ΔE_f (raw) in eV/atom: -1.215

---

No. 2
## SnGe2F (PBE)

Data for a relaxed structure of SnGe2F.

Lattice parameters (Å, degrees): 4.741 4.741 4.741 60.00 60.00 60.00
Fractional coordinates of all 4 atoms:
Ge 0.750 0.750 0.750
Sn 0.500 0.500 0.500
Ge 0.250 0.250 0.250
F 0.000 0.000 0.000

Properties
Volume in Å³/atom: 18.83
Offset from the most stable computed form in meV per atom: 0
Total DFT energy (no corrections) in eV/f.u.: -16.6
ΔE_f (raw) in eV/atom: -0.375

---

No. 3
## Sn3Ge5F12 (PBE)

Data for a relaxed structure of Sn3Ge5F12.

Lattice parameters (Å, degrees): 12.289 12.289 12.289 109.47 109.47 109.47
Fractional coordinates of all 80 atoms:
Sn 0.125 0.250 0.875
F 0.964 0.553 0.172
Sn 0.625 0.250 0.375
F 0.036 0.589 0.708
Ge 0.000 0.500 0.000
Ge 0.625 0.750 0.875
F 0.589 0.553 0.881
Ge 0.000 0.000 0.500
Ge 0.500 0.000 0.000
Sn 0.875 0.750 0.125
F 0.447 0.036 0.328
F 0.119 0.947 0.411
F 0.292 0.911 0.964
Sn 0.250 0.625 0.875
F 0.172 0.053 0.964
Ge 0.750 0.125 0.875
Sn 0.250 0.125 0.375
F 0.447 0.411 0.619
F 0.911 0.619 0.947
F 0.553 0.589 0.381
Ge 0.000 0.000 0.000
F 0.053 0.881 0.089
F 0.381 0.292 0.328
F 0.911 0.292 0.464
Ge 0.500 0.500 0.000
F 0.619 0.708 0.672
Ge 0.375 0.250 0.125
F 0.828 0.947 0.036
F 0.792 0.464 0.411
Sn 0.875 0.125 0.250
Ge 0.750 0.625 0.375
F 0.792 0.328 0.881
Sn 0.375 0.750 0.625
F 0.036 0.447 0.828
Ge 0.625 0.875 0.250
F 0.292 0.381 0.828
Ge 0.125 0.375 0.250
F 0.089 0.381 0.053
F 0.828 0.881 0.292
F 0.947 0.828 0.536
F 0.964 0.411 0.292
F 0.464 0.792 0.911
Ge 0.500 0.000 0.500
Ge 0.375 0.125 0.750
F 0.411 0.447 0.119
Ge 0.875 0.250 0.625
F 0.208 0.536 0.589
F 0.553 0.964 0.672
F 0.089 0.708 0.536
F 0.672 0.208 0.619
F 0.208 0.672 0.119
Sn 0.750 0.875 0.625
F 0.053 0.172 0.464
Ge 0.500 0.500 0.500
F 0.328 0.792 0.381
Sn 0.125 0.875 0.750
Sn 0.625 0.375 0.750
F 0.536 0.328 0.947
Ge 0.125 0.750 0.375
F 0.381 0.089 0.553
F 0.119 0.172 0.208
F 0.708 0.619 0.172
Ge 0.875 0.625 0.750
F 0.328 0.536 0.447
F 0.411 0.964 0.792
F 0.672 0.464 0.553
F 0.708 0.089 0.036
F 0.589 0.036 0.208
Sn 0.750 0.375 0.125
Ge 0.000 0.500 0.500
Ge 0.250 0.875 0.125
F 0.619 0.911 0.447
F 0.947 0.119 0.911
F 0.464 0.672 0.053
F 0.881 0.053 0.589
F 0.881 0.828 0.792
Sn 0.375 0.625 0.250
Ge 0.250 0.375 0.625
F 0.172 0.119 0.708
F 0.536 0.208 0.089

Properties
Volume in Å³/atom: 17.86
Total DFT energy (no corrections) in eV/f.u.: -88.1
ΔE_f (raw) in eV/atom: -1.526

---

No. 4
## SnGeF6 (PBE)

Data for a relaxed structure of SnGeF6.

Lattice parameters (Å, degrees): 5.497 5.497 9.635 101.89 101.89 56.56
Fractional coordinates of all 16 atoms:
F 0.665 0.934 0.838
Sn 0.260 0.740 0.250
F 0.321 0.390 0.000
F 0.610 0.679 0.500
Ge 0.500 0.000 0.000
F 0.996 0.823 0.612
Sn 0.740 0.260 0.750
F 0.335 0.066 0.162
F 0.934 0.665 0.338
F 0.066 0.335 0.662
F 0.823 0.996 0.112
F 0.177 0.004 0.888
F 0.390 0.321 0.500
F 0.679 0.610 0.000
F 0.004 0.177 0.388
Ge 0.000 0.500 0.500

Properties
Volume in Å³/atom: 14.76
Offset from the most stable computed form in meV per atom: 0
Total DFT energy (no corrections) in eV/f.u.: -39.0
ΔE_f (raw) in eV/atom: -2.398

---

No. 5
## SnGe3F (PBE)

Data for a relaxed structure of SnGe3F.

Lattice parameters (Å, degrees): 4.713 4.713 4.713 90.00 90.00 90.00
Fractional coordinates of all 5 atoms:
Ge 0.000 0.000 0.500
F 0.000 0.000 0.000
Ge 0.500 0.000 0.000
Ge 0.000 0.500 0.000
Sn 0.500 0.500 0.500

Properties
Volume in Å³/atom: 20.94
Offset from the most stable computed form in meV per atom: 0
Total DFT energy (no corrections) in eV/f.u.: -19.9
ΔE_f (raw) in eV/atom: -0.029

---

No. 6
## SnGe2F (PBE)

Data for a relaxed structure of SnGe2F.

Lattice parameters (Å, degrees): 4.712 4.712 8.564 74.03 74.03 90.00
Fractional coordinates of all 8 atoms:
Sn 0.000 0.000 0.000
Ge 0.524 0.125 0.250
Ge 0.875 0.774 0.750
Ge 0.375 0.476 0.750
F 0.250 0.750 0.500
Ge 0.226 0.625 0.250
Sn 0.750 0.250 0.500
F 0.500 0.500 0.000

Properties
Volume in Å³/atom: 21.90
Offset from the most stable computed form in meV per atom: 47
Total DFT energy (no corrections) in eV/f.u.: -16.4
ΔE_f (raw) in eV/atom: -0.328

---

No. 7
## SnGe3F (PBE)

Data for a relaxed structure of SnGe3F.

Lattice parameters (Å, degrees): 5.365 5.365 5.365 90.00 90.00 90.00
Fractional coordinates of all 5 atoms:
F 0.500 0.500 0.500
Ge 0.500 0.000 0.000
Ge 0.000 0.000 0.500
Ge 0.000 0.500 0.000
Sn 0.000 0.000 0.000

Properties
Volume in Å³/atom: 30.88
Offset from the most stable computed form in meV per atom: 667
Total DFT energy (no corrections) in eV/f.u.: -16.5
ΔE_f (raw) in eV/atom: 0.638

---

No. 8
## Sn2GeF6 (PBE)

Data for a relaxed structure of Sn2GeF6.

Lattice parameters (Å, degrees): 7.376 12.503 10.975 50.49 42.50 30.56
Fractional coordinates of all 18 atoms:
F 0.769 0.686 0.033
Sn 0.210 0.904 0.768
Sn 0.801 0.416 0.234
F 0.231 0.314 0.967
Sn 0.199 0.584 0.766
F 0.542 0.379 0.222
Sn 0.790 0.096 0.232
F 0.739 0.709 0.758
Ge 0.285 0.230 0.712
F 0.354 0.164 0.556
F 0.983 0.840 0.085
F 0.261 0.291 0.242
F 0.458 0.621 0.778
Ge 0.715 0.770 0.288
F 0.812 0.936 0.703
F 0.188 0.064 0.297
F 0.017 0.160 0.915
F 0.646 0.836 0.444

Properties
Volume in Å³/atom: 19.31
Total DFT energy (no corrections) in eV/f.u.: -43.9
ΔE_f (raw) in eV/atom: -2.231

---

No. 9
## SnGeF6 (PBE)

Data for a relaxed structure of SnGeF6.

Lattice parameters (Å, degrees): 4.807 4.807 5.104 76.07 76.07 87.88
Fractional coordinates of all 8 atoms:
Sn 0.500 0.500 0.500
F 0.263 0.263 0.001
F 0.270 0.888 0.724
F 0.888 0.270 0.724
F 0.730 0.112 0.276
Ge 0.000 0.000 0.000
F 0.112 0.730 0.276
F 0.737 0.737 0.999

Properties
Volume in Å³/atom: 13.89
Offset from the most stable computed form in meV per atom: 32
Total DFT energy (no corrections) in eV/f.u.: -38.8
ΔE_f (raw) in eV/atom: -2.366

---

No. 10
## SnGe2F6 (PBE)

Data for a relaxed structure of SnGe2F6.

Lattice parameters (Å, degrees): 7.453 7.503 7.503 94.24 63.88 63.88
Fractional coordinates of all 18 atoms:
Ge 0.403 0.520 0.767
F 0.823 0.998 0.429
F 0.177 0.002 0.571
F 0.677 0.571 0.002
F 0.288 0.050 0.179
F 0.212 0.821 0.950
Ge 0.903 0.767 0.520
F 0.888 0.410 0.210
F 0.112 0.590 0.790
F 0.612 0.790 0.590
F 0.712 0.950 0.821
Ge 0.097 0.233 0.480
F 0.323 0.429 0.998
F 0.788 0.179 0.050
Sn 0.250 0.099 0.901
F 0.388 0.210 0.410
Ge 0.597 0.480 0.233
Sn 0.750 0.901 0.099

Properties
Volume in Å³/atom: 17.72
Total DFT energy (no corrections) in eV/f.u.: -43.7
ΔE_f (raw) in eV/atom: -2.137

---

No. 11
## TlSnGe2F (PBE)

Data for a relaxed structure of TlSnGe2F.

Lattice parameters (Å, degrees): 5.402 4.489 5.402 90.00 90.00 90.00
Fractional coordinates of all 5 atoms:
F 0.000 0.500 0.000
Ge 0.500 0.000 0.000
Sn 0.500 0.500 0.500
Ge 0.000 0.000 0.500
Tl 0.000 0.000 0.000

Properties
Volume in Å³/atom: 26.19
Total DFT energy (no corrections) in eV/f.u.: -17.0
ΔE_f (raw) in eV/atom: 0.099

---

- Which value of ΔE_f (raw) does entry 5 give?
  -0.029 eV/atom

---

- Which formula does entry 5 have?
  SnGe3F

---

- The lowest total DFT energy (no corrections) belongs to which entry?
  Sn3Ge5F12